The following is a DFT calculation (PBE) of a geometry-optimized Pu2InAg structure.

Values from the calculation:
**SG**: R-3m (166)
**Formation energy from the elements**: 266 meV/atom

Unit cell a=11.8220 b=11.8220 c=11.8220 alpha=15.27 beta=15.27 gamma=15.27
Positions (direct):
Pu1 0.0866 0.0866 0.0866
Pu2 0.9134 0.9134 0.9134
In1 0.5000 0.5000 0.5000
Ag1 0.0000 0.0000 0.0000

The following is a DFT calculation (PBE) of a geometry-optimized SmMg6Sc2 structure.

Values from the calculation:
**SG**: P6/mmm (191)
**Formation energy from the elements**: -35 meV/atom

Unit cell a=8.9281 b=8.9281 c=3.1943 alpha=90.00 beta=90.00 gamma=120.00
Positions (direct):
Sm1 0.0000 0.0000 0.0000
Mg1 0.0000 0.3393 0.5000
Mg2 0.0000 0.6607 0.5000
Mg3 0.3393 0.0000 0.5000
Mg4 0.3393 0.3393 0.5000
Mg5 0.6607 0.0000 0.5000
Mg6 0.6607 0.6607 0.5000
Sc1 0.3333 0.6667 0.0000
Sc2 0.6667 0.3333 0.0000

The following is a DFT calculation (PBE) of a geometry-optimized Ag6Ge2O7 structure.

Values from the calculation:
**SG**: P2_1 (4)
**ΔE_f (raw)**: -0.688 eV per atom

Unit cell a=5.5262 b=10.2014 c=16.3687 alpha=90.00 beta=90.50 gamma=90.00
Positions (direct):
Ag1 0.1721 0.0000 0.4293
Ag2 0.2554 0.8092 0.5886
Ag3 0.2746 0.5171 0.1761
Ag4 0.2778 0.0550 0.2047
Ag5 0.2802 0.0269 0.9208
Ag6 0.2817 0.3204 0.8433
Ag7 0.2820 0.8579 0.0709
Ag8 0.2922 0.0280 0.6939
Ag9 0.3038 0.3028 0.0520
Ag10 0.3077 0.3118 0.3091
Ag11 0.3151 0.5245 0.6741
Ag12 0.3159 0.2580 0.5080
Ag13 0.6841 0.7580 0.4920
Ag14 0.6849 0.0245 0.3259
Ag15 0.6923 0.8118 0.6909
Ag16 0.6962 0.8028 0.9480
Ag17 0.7078 0.5280 0.3061
Ag18 0.7180 0.3579 0.9291
Ag19 0.7183 0.8204 0.1567
Ag20 0.7198 0.5269 0.0792
Ag21 0.7222 0.5550 0.7953
Ag22 0.7254 0.0171 0.8239
Ag23 0.7446 0.3092 0.4114
Ag24 0.8279 0.5000 0.5707
Ge1 0.2255 0.7668 0.8046
Ge2 0.2385 0.5834 0.9694
Ge3 0.2424 0.5638 0.4323
Ge4 0.2821 0.7815 0.2954
Ge5 0.7179 0.2815 0.7046
Ge6 0.7576 0.0638 0.5677
Ge7 0.7615 0.0834 0.0306
Ge8 0.7745 0.2668 0.1954
O1 0.0780 0.8793 0.2389
O2 0.0992 0.6887 0.8928
O3 0.1040 0.6931 0.7159
O4 0.1114 0.6540 0.3472
O5 0.1156 0.6210 0.5240
O6 0.1282 0.4218 0.9506
O7 0.1348 0.9352 0.8090
O8 0.1384 0.6450 0.0637
O9 0.1527 0.3961 0.4190
O10 0.4375 0.0748 0.5691
O11 0.4385 0.0802 0.0398
O12 0.4387 0.8748 0.3735
O13 0.4499 0.2544 0.1886
O14 0.4945 0.6974 0.2332
O15 0.5055 0.1974 0.7668
O16 0.5501 0.7544 0.8114
O17 0.5613 0.3748 0.6265
O18 0.5625 0.5748 0.4309
O19 0.5615 0.5802 0.9602
O20 0.8473 0.8961 0.5810
O21 0.8616 0.1450 0.9363
O22 0.8652 0.4352 0.1910
O23 0.8718 0.9218 0.0494
O24 0.8844 0.1210 0.4760
O25 0.8886 0.1540 0.6528
O26 0.8960 0.1931 0.2841
O27 0.9008 0.1887 0.1072
O28 0.9220 0.3793 0.7611

The following is a DFT calculation (PBE) of a geometry-optimized Ho8TmAl2 structure.

Values from the calculation:
**Energy relative to the lowest polymorph listed for this composition**: 0 meV per atom
**SG**: C2/m (12)
**Formation energy from the elements**: -108 meV/atom

Unit cell a=8.5390 b=8.5390 c=8.1573 alpha=113.14 beta=113.14 gamma=35.12
Positions (direct):
Ho1 0.0562 0.0562 0.2339
Ho2 0.1523 0.1523 0.7198
Ho3 0.3120 0.3120 0.5483
Ho4 0.3901 0.3901 0.0290
Ho5 0.6099 0.6099 0.9710
Ho6 0.6880 0.6880 0.4517
Ho7 0.8477 0.8477 0.2802
Ho8 0.9438 0.9438 0.7661
Tm1 0.5000 0.5000 0.5000
Al1 0.2244 0.2244 0.1414
Al2 0.7756 0.7756 0.8586